A plane-wave DFT calculation with PBE was carried out for a geometry-optimized RbTh3S6 structure.

Crystal system = monoclinic
Uncorrected energy = -6.647 eV per atom
Total moment = 0.00 μB per formula unit
Raw formation energy = -1782.4 kJ/mol of formula units

abc: 4.2969 12.0765 13.5866
angles: 127.55 90.00 90.00
Atoms (fractional coordinates):
Rb 0.2500 0.6132 0.7048
Rb 0.7500 0.3868 0.2952
Th 0.2500 0.3485 0.8282
Th 0.7500 0.6515 0.1718
Th 0.2500 0.8547 0.5364
Th 0.7500 0.1453 0.4636
Th 0.2500 0.9562 0.1075
Th 0.7500 0.0438 0.8925
S 0.2500 0.1208 0.5784
S 0.7500 0.8792 0.4216
S 0.2500 0.1569 0.0682
S 0.7500 0.8431 0.9318
S 0.2500 0.6395 0.0246
S 0.7500 0.3605 0.9754
S 0.2500 0.5992 0.2812
S 0.7500 0.4008 0.7188
S 0.2500 0.2210 0.3756
S 0.7500 0.7790 0.6244
S 0.2500 0.0867 0.7881
S 0.7500 0.9133 0.2119